[1]
Entry from the Alexandria database: an optimized crystal structure of Li3SiS4 (PBE-GGA).

abc: 5.853 6.919 8.009
angles: 90.00 90.00 90.00
Element x y z (fractional)
Li  0.534  0.848  0.000
Li  0.029  0.675  0.236
Li  0.529  0.325  0.264
Li  0.034  0.152  0.500
Li  0.529  0.325  0.736
Li  0.029  0.675  0.764
Si  0.992  0.178  0.000
Si  0.492  0.822  0.500
S  0.104  0.885  0.000
S  0.630  0.188  0.000
S  0.099  0.325  0.222
S  0.599  0.675  0.278
S  0.130  0.812  0.500
S  0.604  0.115  0.500
S  0.599  0.675  0.722
S  0.099  0.325  0.778

Values from the calculation:
crystal system = orthorhombic
density = 1.81 g/cm3
formation energy from raw total energies = -21.472 kcal/mol of atoms



[2]
Entry from the Alexandria database: an optimized crystal structure of LaTcAg2 (PBE-GGA).

abc: 5.594 5.594 5.594
angles: 136.10 136.10 63.83
Element x y z (fractional)
Ag  0.000  0.000  0.000
Ag  0.500  0.500  0.000
La  0.250  0.750  0.500
Tc  0.750  0.250  0.500

Values from the calculation:
crystal system = tetragonal
excess energy over the best structure of this formula in the dataset = 45 meV per atom
density = 9.05 g/cm3



[3]
Entry from the Alexandria database: an optimized crystal structure of TbGdPt (PBE-GGA).

abc: 4.121 4.664 4.664
angles: 120.00 90.00 90.00
Element x y z (fractional)
Gd  0.063  0.000  0.000
Tb  0.594  0.667  0.333
Pt  0.343  0.333  0.667

Values from the calculation:
crystal system = trigonal
excess energy over the best structure of this formula in the dataset = 170 meV per atom
density = 10.94 g/cm3



[4]
Entry from the Alexandria database: an optimized crystal structure of Ho2Mg2Pd3 (PBE-GGA).

abc: 4.366 7.378 5.250
angles: 105.20 114.57 90.00
Element x y z (fractional)
Ho  0.371  0.171  0.742
Ho  0.629  0.829  0.258
Mg  0.130  0.417  0.259
Mg  0.870  0.583  0.741
Pd  0.000  0.000  0.000
Pd  0.316  0.772  0.631
Pd  0.684  0.228  0.369

Values from the calculation:
crystal system = monoclinic
excess energy over the best structure of this formula in the dataset = 8 meV per atom
density = 7.87 g/cm3



[5]
Entry from the Alexandria database: an optimized crystal structure of LaIr2 (PBE-GGA).

abc: 4.237 4.237 13.264
angles: 99.19 99.19 90.00
Element x y z (fractional)
Ir  0.251  0.251  0.502
Ir  0.749  0.749  0.498
Ir  0.501  0.001  0.002
Ir  0.999  0.499  0.998
Ir  0.424  0.424  0.847
Ir  0.576  0.576  0.153
Ir  0.674  0.174  0.347
Ir  0.826  0.326  0.653
La  0.077  0.077  0.155
La  0.923  0.923  0.845
La  0.327  0.827  0.655
La  0.173  0.673  0.345

Values from the calculation:
crystal system = tetragonal
density = 14.98 g/cm3
energy = -7.8003 eV per atom



[6]
Entry from the Alexandria database: an optimized crystal structure of Pu2AsRu (PBE-GGA).

abc: 3.707 3.707 5.807
angles: 90.00 90.00 90.00
Element x y z (fractional)
Ru  0.500  0.500  0.500
As  0.500  0.500  0.000
Pu  0.000  0.000  0.749
Pu  0.000  0.000  0.251

Values from the calculation:
crystal system = tetragonal
density = 13.81 g/cm3
energy = -11.1366 eV per atom



- What is the density in the fifth record?
  14.98 g/cm3



- What is the density in the third record?
  10.94 g/cm3



- Look up the density of the first one.
  1.81 g/cm3